1.
DFT (PBE) results for a relaxed structure of In7Hg2Bi.

Results
ΔH_f (0 K) = 22 meV per atom
V = 278.6 Å³/f.u.
Total magnetic moment = 0.00 μB/cell
Density of states at the Fermi level = 8.53 states/eV per cell

a = 6.442 Å, b = 8.783 Å, c = 12.185 Å
α = 60.90°, β = 74.67°, γ = 68.49°
Atoms (fractional coordinates):
In: 0.937 0.846 0.941
In: 0.731 0.542 0.864
In: 0.426 0.859 0.952
In: 0.137 0.958 0.636
In: 0.063 0.154 0.059
Bi: 0.094 0.250 0.750
In: 0.276 0.346 0.441
Hg: 0.630 0.956 0.654
Bi: 0.906 0.750 0.250
Hg: 0.241 0.544 0.846
In: 0.406 0.750 0.250
In: 0.763 0.359 0.452
In: 0.724 0.654 0.559
Hg: 0.370 0.044 0.346
In: 0.574 0.141 0.048
Hg: 0.759 0.456 0.154
In: 0.237 0.641 0.548
In: 0.863 0.042 0.364
In: 0.269 0.458 0.136
In: 0.594 0.250 0.750

---

2.
DFT (PBE) results for a relaxed structure of Sr2BeIO.

Results
V = 118.4 Å³/f.u.
Total magnetic moment = 0.00 μB/cell
Uncorrected formation energy = -0.94 eV/atom
Density of states at the Fermi level = 4.02 states/eV per cell

a = 5.752 Å, b = 3.580 Å, c = 5.752 Å
α = 90.00°, β = 90.00°, γ = 90.00°
Atoms (fractional coordinates):
Sr: 0.500 0.000 0.000
Sr: 0.000 0.000 0.500
O: 0.000 0.000 0.000
Be: 0.000 0.500 0.000
I: 0.500 0.500 0.500

---

3.
DFT (PBE) results for a relaxed structure of TlAgMo2.

Results
ΔH_f (0 K) = 556 meV per atom
V = 74.4 Å³/f.u.
Total magnetic moment = 0.00 μB/cell
Density of states at the Fermi level = 1.52 states/eV per cell

a = 5.462 Å, b = 5.462 Å, c = 5.462 Å
α = 144.43°, β = 127.40°, γ = 65.12°
Atoms (fractional coordinates):
Tl: 0.505 0.505 0.000
Mo: 0.974 0.974 0.000
Ag: 0.243 0.743 0.500
Mo: 0.778 0.278 0.500

---

4.
DFT (PBE) results for a relaxed structure of Tb4Tl3Ag.

Results
ΔH_f (0 K) = -345 meV per atom
V = 214.3 Å³/f.u.
Total magnetic moment = 0.00 μB/cell
Density of states at the Fermi level = 7.06 states/eV per cell

a = 3.639 Å, b = 3.639 Å, c = 16.187 Å
α = 90.00°, β = 90.00°, γ = 90.00°
Atoms (fractional coordinates):
Tb: 0.000 0.000 0.630
Tb: 0.000 0.000 0.113
Tl: 0.500 0.500 0.759
Tb: 0.000 0.000 0.370
Tb: 0.000 0.000 0.887
Tl: 0.500 0.500 0.500
Ag: 0.500 0.500 0.000
Tl: 0.500 0.500 0.241

---

5.
DFT (PBE) results for a relaxed structure of MgAl14Ga.

Results
ΔH_f (0 K) = 24 meV per atom
V = 272.5 Å³/f.u.
Total magnetic moment = 0.00 μB/cell
Density of states at the Fermi level = 5.64 states/eV per cell

a = 5.751 Å, b = 5.751 Å, c = 9.527 Å
α = 90.00°, β = 90.00°, γ = 120.16°
Atoms (fractional coordinates):
Al: 0.333 0.667 0.248
Ga: 0.164 0.836 0.000
Al: 0.836 0.164 0.252
Al: 0.167 0.334 0.500
Al: 0.834 0.670 0.745
Al: 0.668 0.833 0.000
Al: 0.834 0.670 0.255
Al: 0.330 0.166 0.255
Al: 0.668 0.332 0.500
Al: 0.333 0.667 0.752
Al: 0.168 0.832 0.500
Al: 0.330 0.166 0.745
Al: 0.167 0.332 0.000
Al: 0.666 0.833 0.500
Mg: 0.667 0.333 0.000
Al: 0.836 0.164 0.748

---

6.
DFT (PBE) results for a relaxed structure of Ac2AuBr.

Results
V = 140.9 Å³/f.u.
Total magnetic moment = 0.00 μB/cell
Uncorrected formation energy = -1.02 eV/atom
Density of states at the Fermi level = 2.90 states/eV per cell

a = 4.415 Å, b = 4.415 Å, c = 8.345 Å
α = 90.00°, β = 90.00°, γ = 60.00°
Atoms (fractional coordinates):
Br: 0.000 0.000 0.500
Ac: 0.667 0.667 0.219
Ac: 0.333 0.333 0.781
Au: 0.000 0.000 0.000